[1]
5
Lattice="5.198 0.000 0.000 0.000 5.198 0.000 0.000 0.000 5.172" Properties=species:S:1:pos:R:3 comment="Cr2CdReBi (PBE, relaxed)" crystal_system=tetragonal energy_ev_per_atom=-5.44 pbc="T T T"
Cr 0.000 2.599 0.000
Cr 2.599 0.000 0.000
Cd 0.000 0.000 2.586
Re 2.599 2.599 2.586
Bi 2.599 2.599 0.000

=====

[2]
5
Lattice="4.829 0.000 0.000 0.000 4.829 0.000 0.000 0.000 4.769" Properties=species:S:1:pos:R:3 comment="V2CrCdBi (PBE, relaxed)" crystal_system=tetragonal energy_ev_per_atom=-4.69 pbc="T T T"
V 0.000 2.415 0.000
V 2.415 0.000 0.000
Cr 0.000 0.000 2.385
Cd 0.000 0.000 0.000
Bi 2.415 2.415 2.385

=====

[3]
5
Lattice="5.501 0.000 0.000 0.000 5.501 0.000 0.000 0.000 5.439" Properties=species:S:1:pos:R:3 comment="Zn2CrCdBi (PBE, relaxed)" crystal_system=tetragonal energy_ev_per_atom=-2.60 pbc="T T T"
Zn 0.000 2.750 0.000
Zn 2.750 0.000 0.000
Cr 0.000 0.000 2.720
Cd 2.750 2.750 2.720
Bi 0.000 0.000 0.000

=====

[4]
5
Lattice="5.101 0.000 0.000 0.000 5.101 0.000 0.000 0.000 4.782" Properties=species:S:1:pos:R:3 comment="ZnCrCd2Bi (PBE, relaxed)" crystal_system=tetragonal energy_ev_per_atom=-2.44 pbc="T T T"
Zn 0.000 0.000 0.000
Cr 0.000 0.000 2.391
Cd 0.000 2.550 2.391
Cd 2.550 0.000 2.391
Bi 2.550 2.550 0.000

=====

[5]
18
Lattice="2.766 -7.817 0.000 2.766 7.817 0.000 0.000 0.000 14.252" Properties=species:S:1:pos:R:3 comment="CsCd5Bi3 (PBE, relaxed)" crystal_system=orthorhombic energy_ev_per_atom=-1.97 pbc="T T T"
Cs 2.766 4.792 10.689
Cs 2.766 -4.792 3.563
Cd 0.000 0.000 0.000
Cd 0.000 0.000 7.126
Cd 2.766 5.049 1.017
Cd 2.766 5.049 6.109
Cd 2.766 0.383 9.236
Cd 2.766 0.383 12.142
Cd 2.766 -0.383 2.110
Cd 2.766 -0.383 5.016
Cd 2.766 -5.049 8.143
Cd 2.766 -5.049 13.235
Bi 2.766 6.674 3.563
Bi 2.766 2.108 0.418
Bi 2.766 2.108 6.708
Bi 2.766 -2.108 7.544
Bi 2.766 -2.108 13.833
Bi 2.766 -6.674 10.689

=====

[6]
16
Lattice="6.870 0.000 0.000 -3.435 5.950 0.000 0.000 0.000 23.146" Properties=species:S:1:pos:R:3 comment="Cs5CdBi2 (PBE, relaxed)" crystal_system=hexagonal energy_ev_per_atom=-1.93 pbc="T T T"
Cs 0.000 0.000 3.319
Cs 0.000 0.000 8.254
Cs 0.000 0.000 14.891
Cs 0.000 0.000 19.827
Cs 0.000 3.967 1.129
Cs 0.000 3.967 5.786
Cs 0.000 3.967 10.444
Cs 3.435 1.983 12.702
Cs 3.435 1.983 17.359
Cs 3.435 1.983 22.017
Cd 0.000 3.967 17.359
Cd 3.435 1.983 5.786
Bi 0.000 3.967 14.506
Bi 0.000 3.967 20.213
Bi 3.435 1.983 2.933
Bi 3.435 1.983 8.640

=====

[7]
4
Lattice="2.752 1.589 6.971 -2.752 1.589 6.971 0.000 -3.178 6.971" Properties=species:S:1:pos:R:3 comment="CsCdBi2 (PBE, relaxed)" crystal_system=trigonal energy_ev_per_atom=-2.49 pbc="T T T"
Cs 0.000 0.000 0.000
Cd 0.000 0.000 10.456
Bi 0.000 0.000 4.016
Bi 0.000 0.000 16.896

=====

[8]
10
Lattice="8.953 -3.874 0.000 8.953 3.874 0.000 -2.095 0.000 7.546" Properties=species:S:1:pos:R:3 comment="Cs2CdBi2 (PBE, relaxed)" crystal_system=monoclinic relative_energy_ev_per_atom=0.051 pbc="T T T"
Cs 0.662 0.000 2.058
Cs 5.204 0.000 2.303
Cs 10.607 0.000 5.242
Cs 15.149 0.000 5.488
Cd 3.934 0.000 6.112
Cd 11.877 0.000 1.434
Bi 1.157 0.000 6.197
Bi 6.808 0.000 6.064
Bi 9.003 0.000 1.482
Bi 14.655 0.000 1.349

=====

[9]
6
Lattice="0.000 4.875 4.875 4.875 0.000 4.875 4.875 4.875 0.000" Properties=species:S:1:pos:R:3 comment="CsCdBi4 (PBE, relaxed)" crystal_system=cubic energy_ev_per_atom=-2.89 pbc="T T T"
Cs 0.000 0.000 0.000
Cd 7.312 7.312 7.312
Bi 3.746 3.746 3.746
Bi 6.003 6.003 3.746
Bi 6.003 3.746 6.003
Bi 3.746 6.003 6.003

=====

[10]
11
Lattice="-2.631 2.631 13.528 2.631 -2.631 13.528 2.631 2.631 -13.528" Properties=species:S:1:pos:R:3 comment="CsCd6Bi4 (PBE, relaxed)" crystal_system=tetragonal energy_ev_per_atom=-2.05 pbc="T T T"
Cs 0.000 0.000 0.000
Cd 2.631 0.000 3.430
Cd 2.631 0.000 6.764
Cd 2.631 0.000 10.099
Cd 0.000 2.631 3.430
Cd 0.000 2.631 6.764
Cd 0.000 2.631 10.099
Bi 0.000 0.000 5.198
Bi 0.000 0.000 11.644
Bi 0.000 0.000 15.412
Bi 0.000 0.000 21.859

=====

[11]
28
Lattice="7.507 0.000 0.000 0.000 10.650 0.000 0.000 0.000 16.101" Properties=species:S:1:pos:R:3 comment="Cs3Cd2Bi2 (PBE, relaxed)" crystal_system=orthorhombic energy_ev_per_atom=-2.02 pbc="T T T"
Cs 0.824 1.424 1.731
Cs 0.824 1.424 6.319
Cs 0.824 3.902 9.781
Cs 0.824 3.902 14.370
Cs 2.427 7.666 12.076
Cs 2.427 8.309 4.025
Cs 5.081 2.341 12.076
Cs 5.081 2.984 4.025
Cs 6.684 6.749 1.731
Cs 6.684 6.749 6.319
Cs 6.684 9.227 9.781
Cs 6.684 9.227 14.370
Cd 2.937 0.245 9.401
Cd 2.937 0.245 14.750
Cd 2.937 5.081 1.351
Cd 2.937 5.081 6.699
Cd 4.570 5.570 9.401
Cd 4.570 5.570 14.750
Cd 4.570 10.406 1.351
Cd 4.570 10.406 6.699
Bi 1.552 0.756 12.076
Bi 1.552 4.569 4.025
Bi 2.990 7.988 0.000
Bi 2.990 7.988 8.050
Bi 4.517 2.663 0.000
Bi 4.517 2.663 8.050
Bi 5.955 6.081 12.076
Bi 5.955 9.894 4.025

=====

[12]
8
Lattice="5.014 0.000 0.000 0.000 5.014 0.000 0.000 0.000 12.512" Properties=species:S:1:pos:R:3 comment="CsCd2Bi (PBE, relaxed)" crystal_system=tetragonal energy_ev_per_atom=-1.79 pbc="T T T"
Cs 1.254 1.254 2.988
Cs 3.761 3.761 9.524
Cd 1.254 1.254 11.708
Cd 1.254 3.761 6.256
Cd 3.761 1.254 6.256
Cd 3.761 3.761 0.805
Bi 1.254 1.254 8.039
Bi 3.761 3.761 4.473

=====

[13]
5
Lattice="-3.906 3.906 4.482 3.906 -3.906 4.482 3.906 3.906 -4.482" Properties=species:S:1:pos:R:3 comment="Cs2CdBi2 (PBE, relaxed)" crystal_system=tetragonal relative_energy_ev_per_atom=0.132 pbc="T T T"
Cs 3.906 0.000 2.241
Cs 0.000 3.906 2.241
Cd 0.000 0.000 0.000
Bi 0.000 0.000 2.960
Bi 0.000 0.000 6.004

=====

[14]
11
Lattice="9.360 0.000 0.000 -4.680 8.106 0.000 0.000 0.000 5.041" Properties=species:S:1:pos:R:3 comment="Cs2Cd6Bi3 (PBE, relaxed)" crystal_system=hexagonal energy_ev_per_atom=-1.84 pbc="T T T"
Cs 0.000 5.404 0.000
Cs 4.680 2.702 0.000
Cd -1.339 2.319 2.520
Cd -3.841 6.652 0.000
Cd 0.839 1.454 0.000
Cd 2.677 0.000 2.520
Cd 3.341 5.787 2.520
Cd 7.681 0.000 0.000
Bi -2.992 5.183 2.520
Bi 1.687 2.923 2.520
Bi 5.985 0.000 2.520

=====

[15]
7
Lattice="7.617 -2.271 0.000 7.617 2.271 0.000 -1.348 0.000 8.564" Properties=species:S:1:pos:R:3 comment="Cs2Cd3Bi2 (PBE, relaxed)" crystal_system=monoclinic energy_ev_per_atom=-1.91 pbc="T T T"
Cs 2.257 0.000 2.018
Cs 11.629 0.000 6.546
Cd 6.638 0.000 1.015
Cd 6.943 0.000 4.282
Cd 7.248 0.000 7.549
Bi 0.732 0.000 5.899
Bi 13.154 0.000 2.665

=====

[16]
11
Lattice="6.560 -3.838 0.000 6.560 3.838 0.000 -5.220 0.000 10.188" Properties=species:S:1:pos:R:3 comment="Cs5Cd4Bi2 (PBE, relaxed)" crystal_system=monoclinic energy_ev_per_atom=-1.49 pbc="T T T"
Cs 0.000 0.000 0.000
Cs 2.271 1.913 6.427
Cs 5.628 1.913 3.762
Cs 2.271 -1.913 6.427
Cs 5.628 -1.913 3.762
Cd 2.562 0.000 2.813
Cd 4.130 0.000 0.320
Cd 3.769 0.000 9.869
Cd 5.337 0.000 7.375
Bi -1.017 0.000 7.592
Bi 8.917 0.000 2.596

=====

[17]
9
Lattice="5.188 0.000 0.000 0.000 5.188 0.000 0.000 0.000 10.188" Properties=species:S:1:pos:R:3 comment="CsCd6Bi2 (PBE, relaxed)" crystal_system=tetragonal energy_ev_per_atom=-1.65 pbc="T T T"
Cs 0.000 0.000 0.000
Cd 0.000 0.000 5.094
Cd 0.000 2.594 3.374
Cd 0.000 2.594 6.814
Cd 2.594 0.000 3.374
Cd 2.594 0.000 6.814
Cd 2.594 2.594 5.094
Bi 2.594 2.594 1.647
Bi 2.594 2.594 8.541

=====

[18]
28
Lattice="5.031 0.000 0.000 0.000 15.403 0.000 0.000 0.000 13.100" Properties=species:S:1:pos:R:3 comment="Cs3Cd6Bi5 (PBE, relaxed)" crystal_system=orthorhombic energy_ev_per_atom=-2.17 pbc="T T T"
Cs 1.258 1.537 3.275
Cs 1.258 6.164 3.275
Cs 1.258 11.552 3.191
Cs 3.773 3.851 9.909
Cs 3.773 9.239 9.825
Cs 3.773 13.866 9.825
Cd 1.258 0.890 8.104
Cd 1.258 3.851 6.602
Cd 1.258 3.851 12.832
Cd 1.258 6.811 8.104
Cd 1.258 8.926 0.120
Cd 1.258 14.178 0.120
Cd 3.773 1.225 12.980
Cd 3.773 6.477 12.980
Cd 3.773 8.591 4.995
Cd 3.773 11.552 0.268
Cd 3.773 11.552 6.497
Cd 3.773 14.513 4.995
Bi 1.258 1.169 11.205
Bi 1.258 6.532 11.205
Bi 1.258 9.477 6.561
Bi 1.258 11.552 11.688
Bi 1.258 13.627 6.561
Bi 3.773 1.775 6.539
Bi 3.773 3.851 1.412
Bi 3.773 5.926 6.539
Bi 3.773 8.871 1.895
Bi 3.773 14.233 1.895

=====

[19]
10
Lattice="12.190 0.000 0.000 0.000 12.190 0.000 0.000 0.000 3.425" Properties=species:S:1:pos:R:3 comment="Cs2CdBi2 (PBE, relaxed)" crystal_system=tetragonal relative_energy_ev_per_atom=0.337 pbc="T T T"
Cs 1.661 4.433 0.000
Cs 4.433 10.528 0.000
Cs 7.756 1.661 0.000
Cs 10.528 7.756 0.000
Cd 0.000 0.000 0.000
Cd 6.095 6.095 0.000
Bi 1.965 8.060 1.712
Bi 4.130 1.965 1.712
Bi 8.060 10.225 1.712
Bi 10.225 4.130 1.712

=====

[20]
11
Lattice="12.170 -2.525 0.000 12.170 2.525 0.000 -1.452 0.000 9.687" Properties=species:S:1:pos:R:3 comment="Cs5Cd2Bi4 (PBE, relaxed)" crystal_system=monoclinic energy_ev_per_atom=-2.18 pbc="T T T"
Cs 0.000 0.000 0.000
Cs 8.112 0.000 0.098
Cs 7.522 0.000 5.426
Cs 15.365 0.000 4.261
Cs 14.775 0.000 9.589
Cd 1.048 0.000 6.629
Cd 21.838 0.000 3.058
Bi 3.880 0.000 7.083
Bi 11.368 0.000 3.280
Bi 11.519 0.000 6.407
Bi 19.006 0.000 2.604